No. 1
## MgSbPb2 (GGA-PBE)

Data for a geometry-optimized MgSbPb2 structure.

Properties
Crystal system: monoclinic
Space group: No. 8
Energy above the most stable polymorph in this dataset in kJ/mol of formula units: 12
E_form (uncorrected) in meV per atom: -1

Cell and atoms, written as POSCAR:
```
MgSbPb2
1.0
5.830 -1.837 0.000
5.830 1.837 0.000
-2.037 0.000 5.310
Mg Sb Pb
1 1 2
Direct
0.000 0.000 0.000
0.291 0.291 0.705
0.534 0.534 0.512
0.753 0.753 0.187
```



No. 2
## ErMgZn4 (GGA-PBE)

Data for a geometry-optimized ErMgZn4 structure.

Properties
Crystal system: orthorhombic
Space group: No. 44
Electronic total energy in eV per atom: -2.129

Cell and atoms, written as POSCAR:
```
ErMgZn4
1.0
-2.195 3.420 3.715
2.195 -3.420 3.715
2.195 3.420 -3.715
Er Mg Zn
1 1 4
Direct
0.000 0.000 0.000
0.592 0.092 0.500
0.020 0.715 0.305
0.185 0.386 0.799
0.410 0.715 0.695
0.587 0.386 0.201
```



No. 3
## Ce6CN4 (GGA-PBE)

Data for a geometry-optimized Ce6CN4 structure.

Properties
Crystal system: orthorhombic
Space group: No. 63
E_form (uncorrected) in meV per atom: -1074

Cell and atoms, written as POSCAR:
```
Ce6CN4
1.0
1.775 -5.923 0.000
1.775 5.923 0.000
0.000 0.000 17.814
Ce C N
12 2 8
Direct
0.000 0.000 0.000
0.000 0.000 0.500
0.175 0.825 0.750
0.277 0.723 0.083
0.277 0.723 0.417
0.447 0.553 0.668
0.447 0.553 0.832
0.553 0.447 0.168
0.553 0.447 0.332
0.723 0.277 0.583
0.723 0.277 0.917
0.825 0.175 0.250
0.179 0.821 0.250
0.821 0.179 0.750
0.084 0.916 0.626
0.084 0.916 0.874
0.364 0.636 0.544
0.364 0.636 0.956
0.636 0.364 0.044
0.636 0.364 0.456
0.916 0.084 0.126
0.916 0.084 0.374
```



No. 4
## ReNi3Pt (GGA-PBE)

Data for a geometry-optimized ReNi3Pt structure.

Properties
Crystal system: cubic
Space group: No. 221
Energy above the most stable polymorph in this dataset in kJ/mol of formula units: 711

Cell and atoms, written as POSCAR:
```
ReNi3Pt
1.0
4.418 0.000 0.000
0.000 4.418 0.000
0.000 0.000 4.418
Re Ni Pt
1 3 1
Direct
0.000 0.000 0.000
0.000 0.000 0.500
0.000 0.500 0.000
0.500 0.000 0.000
0.500 0.500 0.500
```



No. 5
## KMg4Au5 (GGA-PBE)

Data for a geometry-optimized KMg4Au5 structure.

Properties
Crystal system: tetragonal
Space group: No. 123
Electronic total energy in eV per atom: -2.900

Cell and atoms, written as POSCAR:
```
KMg4Au5
1.0
3.373 0.000 0.000
0.000 3.373 0.000
0.000 0.000 17.649
K Mg Au
1 4 5
Direct
0.000 0.000 0.000
0.000 0.000 0.227
0.000 0.000 0.409
0.000 0.000 0.591
0.000 0.000 0.773
0.500 0.500 0.144
0.500 0.500 0.321
0.500 0.500 0.500
0.500 0.500 0.679
0.500 0.500 0.856
```



No. 6
## CeAlGaPt2 (GGA-PBE)

Data for a geometry-optimized CeAlGaPt2 structure.

Properties
Crystal system: tetragonal
Space group: No. 119
Electronic total energy in eV per atom: -5.946

Cell and atoms, written as POSCAR:
```
CeAlGaPt2
1.0
-2.073 2.073 5.640
2.073 -2.073 5.640
2.073 2.073 -5.640
Ce Al Ga Pt
1 1 1 2
Direct
0.000 0.000 0.000
0.750 0.250 0.500
0.250 0.750 0.500
0.381 0.381 0.000
0.619 0.619 0.000
```



No. 7
## Li2CrNiC (GGA-PBE)

Data for a geometry-optimized Li2CrNiC structure.

Properties
Crystal system: tetragonal
Space group: No. 123
Electronic total energy in eV per atom: -5.265

Cell and atoms, written as POSCAR:
```
Li2CrNiC
1.0
3.888 0.000 0.000
0.000 3.888 0.000
0.000 0.000 3.831
Li Cr Ni C
2 1 1 1
Direct
0.000 0.500 0.000
0.500 0.000 0.000
0.000 0.000 0.500
0.500 0.500 0.500
0.000 0.000 0.000
```



No. 8
## Tm2SbO (GGA-PBE)

Data for a geometry-optimized Tm2SbO structure.

Properties
Crystal system: orthorhombic
Space group: No. 59
Energy above the most stable polymorph in this dataset in kJ/mol of formula units: 0
E_form (uncorrected) in meV per atom: -2017

Cell and atoms, written as POSCAR:
```
Tm2SbO
1.0
4.344 0.000 0.000
0.000 4.453 0.000
0.000 0.000 8.628
Tm Sb O
4 2 2
Direct
0.250 0.250 0.010
0.250 0.750 0.340
0.750 0.250 0.660
0.750 0.750 0.990
0.250 0.750 0.698
0.750 0.250 0.302
0.250 0.750 0.072
0.750 0.250 0.928
```



No. 9
## B2C (GGA-PBE)

Data for a geometry-optimized B2C structure.

Properties
Crystal system: monoclinic
Space group: No. 8
Energy above the most stable polymorph in this dataset in kJ/mol of formula units: 75

Cell and atoms, written as POSCAR:
```
B2C
1.0
4.443 -1.321 0.000
4.443 1.321 0.000
-3.507 0.000 7.332
B C
8 4
Direct
0.000 0.000 0.000
0.080 0.080 0.375
0.352 0.352 0.749
0.496 0.496 0.662
0.504 0.504 0.175
0.704 0.704 0.374
0.846 0.846 0.261
0.941 0.941 0.492
0.165 0.165 0.967
0.314 0.314 0.146
0.660 0.660 0.854
0.822 0.822 0.824
```



No. 10
## LiCa4Cd2 (GGA-PBE)

Data for a geometry-optimized LiCa4Cd2 structure.

Properties
Crystal system: trigonal
Space group: No. 166
Energy above the most stable polymorph in this dataset in kJ/mol of formula units: 51

Cell and atoms, written as POSCAR:
```
LiCa4Cd2
1.0
2.697 1.557 9.435
-2.697 1.557 9.435
0.000 -3.115 9.435
Li Ca Cd
1 4 2
Direct
0.000 0.000 0.000
0.209 0.209 0.209
0.378 0.378 0.378
0.622 0.622 0.622
0.791 0.791 0.791
0.092 0.092 0.092
0.908 0.908 0.908
```



No. 11
## SiHgIr2 (GGA-PBE)

Data for a geometry-optimized SiHgIr2 structure.

Properties
Crystal system: tetragonal
Space group: No. 123
Energy above the most stable polymorph in this dataset in kJ/mol of formula units: 186
E_form (uncorrected) in meV per atom: 291

Cell and atoms, written as POSCAR:
```
SiHgIr2
1.0
4.191 0.000 0.000
0.000 4.191 0.000
0.000 0.000 3.550
Si Hg Ir
1 1 2
Direct
0.000 0.000 0.000
0.500 0.500 0.000
0.000 0.500 0.500
0.500 0.000 0.500
```



No. 12
## KTi2Te (GGA-PBE)

Data for a geometry-optimized KTi2Te structure.

Properties
Crystal system: tetragonal
Space group: No. 122
Energy above the most stable polymorph in this dataset in kJ/mol of formula units: 0
E_form (uncorrected) in meV per atom: 364

Cell and atoms, written as POSCAR:
```
KTi2Te
1.0
-2.401 2.401 10.269
2.401 -2.401 10.269
2.401 2.401 -10.269
K Ti Te
2 4 2
Direct
0.000 0.000 0.000
0.750 0.250 0.500
0.361 0.125 0.736
0.375 0.639 0.764
0.389 0.625 0.264
0.875 0.611 0.236
0.250 0.750 0.500
0.500 0.500 0.000
```



No. 13
## Pm2NdSm4Er (GGA-PBE)

Data for a geometry-optimized Pm2NdSm4Er structure.

Properties
Crystal system: monoclinic
Space group: No. 15
Electronic total energy in eV per atom: -4.321

Cell and atoms, written as POSCAR:
```
Pm2NdSm4Er
1.0
6.875 -6.687 0.000
6.875 6.687 0.000
-3.444 0.000 5.981
Pm Nd Sm Er
4 2 8 2
Direct
0.000 0.000 0.000
0.000 0.000 0.500
0.000 0.500 0.000
0.500 0.000 0.500
0.000 0.500 0.500
0.500 0.000 0.000
0.253 0.254 0.024
0.254 0.253 0.524
0.255 0.744 0.499
0.256 0.745 0.001
0.744 0.255 0.999
0.745 0.256 0.501
0.746 0.747 0.476
0.747 0.746 0.976
0.500 0.500 0.000
0.500 0.500 0.500
```



No. 14
## LuAsPd (GGA-PBE)

Data for a geometry-optimized LuAsPd structure.

Properties
Crystal system: tetragonal
Space group: No. 107
Electronic total energy in eV per atom: -5.591

Cell and atoms, written as POSCAR:
```
LuAsPd
1.0
-1.907 1.907 4.119
1.907 -1.907 4.119
1.907 1.907 -4.119
Lu As Pd
1 1 1
Direct
0.000 0.000 0.000
0.660 0.660 0.000
0.347 0.347 0.000
```



No. 15
## Pm2MgGe4Au3 (GGA-PBE)

Data for a geometry-optimized Pm2MgGe4Au3 structure.

Properties
Crystal system: tetragonal
Space group: No. 115
Electronic total energy in eV per atom: -4.494

Cell and atoms, written as POSCAR:
```
Pm2MgGe4Au3
1.0
4.284 0.000 0.000
0.000 4.284 0.000
0.000 0.000 11.457
Pm Mg Ge Au
2 1 4 3
Direct
0.000 0.500 0.246
0.500 0.000 0.754
0.500 0.500 0.000
0.000 0.000 0.500
0.000 0.500 0.858
0.500 0.000 0.142
0.500 0.500 0.500
0.000 0.000 0.000
0.000 0.500 0.639
0.500 0.000 0.361
```



No. 16
## Cd9In2Sn (GGA-PBE)

Data for a geometry-optimized Cd9In2Sn structure.

Properties
Crystal system: tetragonal
Space group: No. 123
Electronic total energy in eV per atom: -1.441

Cell and atoms, written as POSCAR:
```
Cd9In2Sn
1.0
4.580 0.000 0.000
0.000 4.580 0.000
0.000 0.000 13.607
Cd In Sn
9 2 1
Direct
0.000 0.000 0.000
0.000 0.000 0.334
0.000 0.000 0.666
0.000 0.500 0.168
0.000 0.500 0.500
0.000 0.500 0.832
0.500 0.000 0.168
0.500 0.000 0.500
0.500 0.000 0.832
0.500 0.500 0.334
0.500 0.500 0.666
0.500 0.500 0.000
```



No. 17
## BeRh2 (GGA-PBE)

Data for a geometry-optimized BeRh2 structure.

Properties
Crystal system: hexagonal
Space group: No. 189
Electronic total energy in eV per atom: -6.368

Cell and atoms, written as POSCAR:
```
BeRh2
1.0
5.956 0.000 0.000
-2.978 5.158 0.000
0.000 0.000 3.592
Be Rh
3 6
Direct
0.000 0.000 0.000
0.333 0.667 0.500
0.667 0.333 0.500
0.000 0.258 0.500
0.000 0.594 0.000
0.258 0.000 0.500
0.406 0.406 0.000
0.594 0.000 0.000
0.742 0.742 0.500
```



No. 18
## Nd3InCu8 (GGA-PBE)

Data for a geometry-optimized Nd3InCu8 structure.

Properties
Crystal system: trigonal
Space group: No. 160
Electronic total energy in eV per atom: -4.295

Cell and atoms, written as POSCAR:
```
Nd3InCu8
1.0
2.641 1.525 8.666
-2.641 1.525 8.666
0.000 -3.050 8.666
Nd In Cu
3 1 8
Direct
0.000 0.000 0.000
0.124 0.124 0.124
0.619 0.619 0.619
0.495 0.495 0.495
0.057 0.057 0.565
0.057 0.565 0.057
0.064 0.560 0.560
0.311 0.311 0.311
0.560 0.064 0.560
0.560 0.560 0.064
0.565 0.057 0.057
0.811 0.811 0.811
```



No. 19
## Be2CoAs (GGA-PBE)

Data for a geometry-optimized Be2CoAs structure.

Properties
Crystal system: orthorhombic
Space group: No. 47
Electronic total energy in eV per atom: -4.831

Cell and atoms, written as POSCAR:
```
Be2CoAs
1.0
2.876 0.000 0.000
0.000 3.155 0.000
0.000 0.000 4.684
Be Co As
2 1 1
Direct
0.000 0.000 0.226
0.000 0.000 0.774
0.500 0.500 0.000
0.500 0.500 0.500
```



No. 20
## Li3Zn2Au4 (GGA-PBE)

Data for a geometry-optimized Li3Zn2Au4 structure.

Properties
Crystal system: monoclinic
Space group: No. 12
Energy above the most stable polymorph in this dataset in kJ/mol of formula units: 0

Cell and atoms, written as POSCAR:
```
Li3Zn2Au4
1.0
4.211 -2.018 0.000
4.211 2.018 0.000
-1.846 0.000 8.311
Li Zn Au
3 2 4
Direct
0.000 0.000 0.000
0.342 0.342 0.445
0.658 0.658 0.555
0.332 0.332 0.780
0.668 0.668 0.220
0.012 0.012 0.335
0.331 0.331 0.113
0.669 0.669 0.887
0.988 0.988 0.665
```



No. 21
## GaCuTe2C (GGA-PBE)

Data for a geometry-optimized GaCuTe2C structure.

Properties
Crystal system: tetragonal
Space group: No. 123
Energy above the most stable polymorph in this dataset in kJ/mol of formula units: 393
E_form (uncorrected) in meV per atom: 1515

Cell and atoms, written as POSCAR:
```
GaCuTe2C
1.0
5.177 0.000 0.000
0.000 5.177 0.000
0.000 0.000 4.604
Ga Cu Te C
1 1 2 1
Direct
0.000 0.000 0.000
0.000 0.000 0.500
0.000 0.500 0.500
0.500 0.000 0.500
0.500 0.500 0.000
```



No. 22
## CdHPd (GGA-PBE)

Data for a geometry-optimized CdHPd structure.

Properties
Crystal system: hexagonal
Space group: No. 187
Electronic total energy in eV per atom: -3.336

Cell and atoms, written as POSCAR:
```
CdHPd
1.0
3.136 0.000 0.000
-1.568 2.716 0.000
0.000 0.000 4.622
Cd H Pd
1 1 1
Direct
0.000 0.000 0.000
0.333 0.667 0.500
0.667 0.333 0.500
```



No. 23
## TePt2Se (GGA-PBE)

Data for a geometry-optimized TePt2Se structure.

Properties
Crystal system: tetragonal
Space group: No. 122
Energy above the most stable polymorph in this dataset in kJ/mol of formula units: 96
E_form (uncorrected) in meV per atom: -63

Cell and atoms, written as POSCAR:
```
TePt2Se
1.0
-2.909 2.909 5.937
2.909 -2.909 5.937
2.909 2.909 -5.937
Te Pt Se
2 4 2
Direct
0.000 0.000 0.000
0.750 0.250 0.500
0.148 0.625 0.023
0.375 0.398 0.523
0.602 0.125 0.977
0.875 0.852 0.477
0.250 0.750 0.500
0.500 0.500 0.000
```



No. 24
## KZrHg2 (GGA-PBE)

Data for a geometry-optimized KZrHg2 structure.

Properties
Crystal system: monoclinic
Space group: No. 12
Energy above the most stable polymorph in this dataset in kJ/mol of formula units: 62

Cell and atoms, written as POSCAR:
```
KZrHg2
1.0
4.592 -1.646 0.000
4.592 1.646 0.000
-1.061 0.000 7.866
K Zr Hg
1 1 2
Direct
0.000 0.000 0.000
0.500 0.500 0.500
0.240 0.240 0.688
0.760 0.760 0.312
```



No. 25
## TiCrCo3 (GGA-PBE)

Data for a geometry-optimized TiCrCo3 structure.

Properties
Crystal system: cubic
Space group: No. 221
Energy above the most stable polymorph in this dataset in kJ/mol of formula units: 379

Cell and atoms, written as POSCAR:
```
TiCrCo3
1.0
4.141 0.000 0.000
0.000 4.141 0.000
0.000 0.000 4.141
Ti Cr Co
1 1 3
Direct
0.000 0.000 0.000
0.500 0.500 0.500
0.000 0.500 0.500
0.500 0.000 0.500
0.500 0.500 0.000
```